Record 1
Density functional theory data (PBE) for a geometry-optimized K4CrH7 structure.

POSCAR file:
```
K4CrH7
1.0
8.121 -1.851 0.000
8.121 1.851 0.000
-5.606 0.000 7.777
K Cr H
4 1 7
Direct
0.000 0.000 0.195 K
0.000 0.000 0.805 K
0.226 0.226 0.725 K
0.774 0.774 0.275 K
0.500 0.500 0.500 Cr
0.000 0.000 0.500 H
0.137 0.137 0.137 H
0.407 0.407 0.279 H
0.407 0.407 0.536 H
0.593 0.593 0.464 H
0.593 0.593 0.721 H
0.863 0.863 0.863 H
```

For the total energy, the calculation gives -3.25 eV per atom. For the total magnetization, the calculation gives 0.250 μB/atom.

***

Record 2
Density functional theory data (PBE) for a geometry-optimized K3Cr2H9 structure.

POSCAR file:
```
K3Cr2H9
1.0
4.855 2.803 4.890
-4.855 2.803 4.890
0.000 -5.606 4.890
K Cr H
6 4 18
Direct
0.095 0.750 0.405 K
0.250 0.595 0.905 K
0.405 0.095 0.750 K
0.595 0.905 0.250 K
0.750 0.405 0.095 K
0.905 0.250 0.595 K
0.162 0.162 0.162 Cr
0.338 0.338 0.338 Cr
0.662 0.662 0.662 Cr
0.838 0.838 0.838 Cr
0.045 0.902 0.748 H
0.098 0.252 0.955 H
0.116 0.384 0.250 H
0.248 0.402 0.545 H
0.250 0.116 0.384 H
0.252 0.955 0.098 H
0.384 0.250 0.116 H
0.402 0.545 0.248 H
0.455 0.752 0.598 H
0.545 0.248 0.402 H
0.598 0.455 0.752 H
0.616 0.750 0.884 H
0.748 0.045 0.902 H
0.750 0.884 0.616 H
0.752 0.598 0.455 H
0.884 0.616 0.750 H
0.902 0.748 0.045 H
0.955 0.098 0.252 H
```

For the total energy, the calculation gives -3.84 eV per atom. For the total magnetization, the calculation gives 0.429 μB/atom.

***

Record 3
Density functional theory data (PBE) for a geometry-optimized KLa2CrH structure.

POSCAR file:
```
KLa2CrH
1.0
5.792 0.000 0.000
0.000 5.792 0.000
0.000 0.000 4.921
K La Cr H
1 2 1 1
Direct
0.000 0.000 0.000 K
0.000 0.500 0.000 La
0.500 0.000 0.000 La
0.000 0.000 0.500 Cr
0.500 0.500 0.500 H
```

For the total energy, the calculation gives -3.01 eV per atom. For the total magnetization, the calculation gives 0.848 μB/atom. The density of states at the Fermi level comes out at 6.11 states/eV per cell.

***

Repeat the first record exactly.
Density functional theory data (PBE) for a geometry-optimized K4CrH7 structure.

POSCAR file:
```
K4CrH7
1.0
8.121 -1.851 0.000
8.121 1.851 0.000
-5.606 0.000 7.777
K Cr H
4 1 7
Direct
0.000 0.000 0.195 K
0.000 0.000 0.805 K
0.226 0.226 0.725 K
0.774 0.774 0.275 K
0.500 0.500 0.500 Cr
0.000 0.000 0.500 H
0.137 0.137 0.137 H
0.407 0.407 0.279 H
0.407 0.407 0.536 H
0.593 0.593 0.464 H
0.593 0.593 0.721 H
0.863 0.863 0.863 H
```

For the total energy, the calculation gives -3.25 eV per atom. For the total magnetization, the calculation gives 0.250 μB/atom.

***

> Which of these has the lowest total energy?

K3Cr2H9

***

> total energy of number 2 (K3Cr2H9)?

-3.84 eV per atom

***

> total energy of number 3 (KLa2CrH)?

-3.01 eV per atom